Record 1
A plane-wave DFT calculation with PBE was carried out for a relaxed structure of KSrSe.

As for the density of states at the Fermi level: 0.88 states/eV/cell. The crystal system is tetragonal. As for the volume: 125 Å³/f.u. Its raw formation energy is -107.8 kJ/mol of atoms.

Lattice parameters (Å, degrees): 8.2148 8.2148 8.2148 151.63 151.63 40.55
With the nearest neighbours (Å) after each atom.
Sites, in units of the cell vectors:
K  0.0000  0.0000  0.0000  1 Sr 3.62, 4 Se 3.71, 4 K 4.03
Sr  0.7651  0.7651  0.0000  4 Se 3.11
Se  0.3461  0.3461  0.0000  4 Sr 3.11

***

Record 2
A plane-wave DFT calculation with PBE was carried out for a relaxed structure of PmMg2Au.

As for the density of states at the Fermi level: 4.30 states/eV/cell. The crystal system is orthorhombic. As for the volume: 95 Å³/f.u. The energy relative to the elements comes out at -513 meV per atom.

Lattice parameters (Å, degrees): 5.6647 5.6647 8.1278 90.00 90.00 132.98
With the nearest neighbours (Å) after each atom.
Sites, in units of the cell vectors:
Pm  0.0593  0.9407  0.7500  3 Au 3.02-3.14
Pm  0.9407  0.0593  0.2500  3 Au 3.02-3.14
Mg  0.3529  0.6471  0.5554  3 Au 2.79-2.89
Mg  0.3529  0.6471  0.9446  3 Au 2.79-2.89
Mg  0.6471  0.3529  0.0554  3 Au 2.79-2.89
Mg  0.6471  0.3529  0.4446  3 Au 2.79-2.89
Au  0.2309  0.7691  0.2500  6 Mg 2.79-2.89, 1 Pm 3.02
Au  0.7691  0.2309  0.7500  6 Mg 2.79-2.89, 1 Pm 3.02

***

Record 3
A plane-wave DFT calculation with PBE was carried out for a relaxed structure of K2MgFe.

As for the density of states at the Fermi level: 3.97 states/eV/cell. The crystal system is tetragonal. As for the volume: 137 Å³/f.u. The energy relative to the elements comes out at 846 meV per atom.

Lattice parameters (Å, degrees): 3.5662 3.5662 10.8090 90.00 90.00 90.00
With the nearest neighbours (Å) after each atom.
Sites, in units of the cell vectors:
K  0.0000  0.0000  0.2248  4 Fe 3.50, 4 K 3.57, 4 Mg 3.90
K  0.0000  0.0000  0.7752  4 Fe 3.50, 4 K 3.57, 4 Mg 3.90
Mg  0.5000  0.5000  0.5000  4 Mg 3.57, 8 K 3.90
Fe  0.5000  0.5000  0.0000  8 K 3.50, 4 Fe 3.57

***

Record 4
A plane-wave DFT calculation with PBE was carried out for a relaxed structure of Ta3CrBi.

As for the density of states at the Fermi level: 5.99 states/eV/cell. The crystal system is cubic. As for the volume: 131 Å³/f.u. The energy relative to the elements comes out at 2829 meV per atom.

Lattice parameters (Å, degrees): 5.0744 5.0744 5.0744 90.00 90.00 90.00
With the nearest neighbours (Å) after each atom.
Sites, in units of the cell vectors:
Ta  0.0000  0.0000  0.5000  2 Bi 2.54
Ta  0.0000  0.5000  0.0000  2 Bi 2.54
Ta  0.5000  0.0000  0.0000  2 Bi 2.54
Cr  0.5000  0.5000  0.5000  12 Ta 3.59
Bi  0.0000  0.0000  0.0000  6 Ta 2.54

***

Record 5
A plane-wave DFT calculation with PBE was carried out for a relaxed structure of SrInReH2.

As for the density of states at the Fermi level: 3.20 states/eV/cell. The calculation puts the total energy at -0.2684 Ry per atom. The crystal system is tetragonal. As for the volume: 107 Å³/f.u.

Lattice parameters (Å, degrees): 4.1237 4.1237 6.3204 90.00 90.00 90.00
With the nearest neighbours (Å) after each atom.
Sites, in units of the cell vectors:
Sr  0.0000  0.0000  0.0000  4 H 2.06
In  0.5000  0.5000  0.5000  4 Re 2.92
Re  0.0000  0.0000  0.5000  4 In 2.92, 2 Sr 3.16
H  0.0000  0.5000  0.0000  2 Sr 2.06
H  0.5000  0.0000  0.0000  2 Sr 2.06

***

Record 6
A plane-wave DFT calculation with PBE was carried out for a relaxed structure of Li6Ca12Mg.

As for the density of states at the Fermi level: 19.07 states/eV/cell. The crystal system is trigonal. As for the volume: 662 Å³/f.u. The energy relative to the elements comes out at 62 meV per atom.

Lattice parameters (Å, degrees): 8.7253 8.7253 8.7253 87.27 87.27 87.27
With the nearest neighbours (Å) after each atom.
Sites, in units of the cell vectors:
Li  0.2411  0.4017  0.7568  1 Mg 3.22, 2 Li 3.35, 5 Ca 3.44-3.53
Li  0.2432  0.7589  0.5983  1 Mg 3.22, 2 Li 3.35, 5 Ca 3.44-3.53
Li  0.4017  0.7568  0.2411  1 Mg 3.22, 2 Li 3.35, 5 Ca 3.44-3.53
Li  0.5983  0.2432  0.7589  1 Mg 3.22, 2 Li 3.35, 5 Ca 3.44-3.53
Li  0.7568  0.2411  0.4017  1 Mg 3.22, 2 Li 3.35, 5 Ca 3.44-3.53
Li  0.7589  0.5983  0.2432  1 Mg 3.22, 2 Li 3.35, 5 Ca 3.44-3.53
Ca  0.0406  0.9369  0.2995  3 Li 3.48-3.66, 7 Ca 3.69-3.89
Ca  0.0631  0.7005  0.9594  3 Li 3.48-3.66, 7 Ca 3.69-3.89
Ca  0.1365  0.4865  0.3455  4 Li 3.44-3.78, 1 Mg 3.51, 5 Ca 3.52-3.84
Ca  0.2995  0.0406  0.9369  3 Li 3.48-3.66, 7 Ca 3.69-3.89
Ca  0.3455  0.1365  0.4865  4 Li 3.44-3.78, 1 Mg 3.51, 5 Ca 3.52-3.84
Ca  0.4865  0.3455  0.1365  4 Li 3.44-3.78, 1 Mg 3.51, 5 Ca 3.52-3.84
Ca  0.5135  0.6545  0.8635  4 Li 3.44-3.78, 1 Mg 3.51, 5 Ca 3.52-3.84
Ca  0.6545  0.8635  0.5135  4 Li 3.44-3.78, 1 Mg 3.51, 5 Ca 3.52-3.84
Ca  0.7005  0.9594  0.0631  3 Li 3.48-3.66, 7 Ca 3.69-3.89
Ca  0.8635  0.5135  0.6545  4 Li 3.44-3.78, 1 Mg 3.51, 5 Ca 3.52-3.84
Ca  0.9369  0.2995  0.0406  3 Li 3.48-3.66, 7 Ca 3.69-3.89
Ca  0.9594  0.0631  0.7005  3 Li 3.48-3.66, 7 Ca 3.69-3.89
Mg  0.5000  0.5000  0.5000  6 Li 3.22, 6 Ca 3.51

***

Record 7
A plane-wave DFT calculation with PBE was carried out for a relaxed structure of TiMnVRe.

As for the density of states at the Fermi level: 2.88 states/eV/cell. The crystal system is cubic. As for the volume: 54 Å³/f.u. The energy relative to the elements comes out at -310 meV per atom.

Lattice parameters (Å, degrees): 4.2545 4.2545 4.2545 60.00 60.00 60.00
With the nearest neighbours (Å) after each atom.
Sites, in units of the cell vectors:
Ti  0.0000  0.0000  0.0000  4 Mn 2.61, 4 Re 2.61
Mn  0.2500  0.2500  0.2500  4 Ti 2.61, 4 V 2.61
V  0.5000  0.5000  0.5000  4 Re 2.61, 4 Mn 2.61
Re  0.7500  0.7500  0.7500  4 V 2.61, 4 Ti 2.61

***

Record 8
A plane-wave DFT calculation with PBE was carried out for a relaxed structure of B2C3.

As for the density of states at the Fermi level: 0.62 states/eV/cell. The crystal system is monoclinic. As for the volume: 34 Å³/f.u. The energy relative to the elements comes out at 374 meV per atom.

Lattice parameters (Å, degrees): 4.6174 4.6174 6.0310 105.88 105.88 34.04
With the nearest neighbours (Å) after each atom.
Sites, in units of the cell vectors:
B  0.0298  0.0298  0.2631  3 C 1.60
B  0.3389  0.3389  0.3330  3 C 1.57
B  0.6611  0.6611  0.6670  3 C 1.57
B  0.9702  0.9702  0.7369  3 C 1.60
C  0.1013  0.1013  0.5388  3 B 1.57-1.60, 1 C 1.71
C  0.2840  0.2840  0.0618  1 B 1.57, 3 C 1.58-1.67
C  0.4807  0.4807  0.1183  2 C 1.56-1.67, 2 B 1.60
C  0.5193  0.5193  0.8817  2 C 1.56-1.67, 2 B 1.60
C  0.7160  0.7160  0.9382  1 B 1.57, 3 C 1.58-1.67
C  0.8987  0.8987  0.4612  3 B 1.57-1.60, 1 C 1.71